No. 1
Material: TcIrSe2
Method: DFT, GGA-PBE
State: optimized geometry

Lattice parameters (Å, degrees): 2.7191 4.1782 6.0340 90.00 90.19 90.00
Fractional coordinates of all 4 atoms:
Tc 0.0000 0.0000 0.0000
Ir 0.0000 0.0000 0.5000
Se 0.0000 0.5000 0.2495
Se 0.0000 0.5000 0.7505

***

No. 2
Material: TcIr2Se
Method: DFT, GGA-PBE
State: optimized geometry

Lattice parameters (Å, degrees): 5.3601 5.3601 5.3601 148.55 130.53 59.81
Fractional coordinates of all 4 atoms:
Tc 0.0000 0.0000 0.0000
Ir 0.2668 0.7668 0.5000
Ir 0.5533 0.5533 0.0000
Se 0.7823 0.2823 0.5000

***

No. 3
Material: Tc2IrSe2
Method: DFT, GGA-PBE
State: optimized geometry

Lattice parameters (Å, degrees): 7.1567 7.1567 3.0893 90.00 90.00 90.00
Fractional coordinates of all 10 atoms:
Tc 0.1438 0.3562 0.0000
Tc 0.3562 0.8562 0.0000
Tc 0.6438 0.1438 0.0000
Tc 0.8562 0.6438 0.0000
Ir 0.0000 0.0000 0.0000
Ir 0.5000 0.5000 0.0000
Se 0.1502 0.6502 0.5000
Se 0.3498 0.1502 0.5000
Se 0.6502 0.8498 0.5000
Se 0.8498 0.3498 0.5000

***

| no. | N(E_F) (states/eV/atom) | uncorrected energy (eV per atom) | magnetic moment (μB/f.u.) |
| --- | --- | --- | --- |
| 1 | 0.9548 | -6.0300 | 0.00 |
| 2 | 1.1141 | -7.4907 | 0.00 |
| 3 | 0.6135 | -6.8608 | 0.00 |